# PBE NaTmO3, relaxed
# DFT total energy in eV per atom: -5.990
# Magnetic moment in μB/f.u.: 1.19
data_NaTmO3
_symmetry_space_group_name_H-M 'P n m a'
_symmetry_Int_Tables_number 62
_cell_length_a 5.9859
_cell_length_b 7.6682
_cell_length_c 5.9188
_cell_angle_alpha 90.00
_cell_angle_beta 90.00
_cell_angle_gamma 90.00
loop_
_symmetry_equiv_pos_as_xyz
'x,y,z'
'-x,-y,-z'
'-x+1/2,-y,z+1/2'
'x+1/2,y,-z+1/2'
'x+1/2,-y+1/2,-z+1/2'
'-x+1/2,y+1/2,z+1/2'
'-x,y+1/2,-z'
'x,-y+1/2,z'
loop_
_atom_site_label
_atom_site_fract_x
_atom_site_fract_y
_atom_site_fract_z
Na1 0.0480 0.2500 0.0152
Tm1 0.0000 0.0000 0.5000
O1 0.0784 0.7500 0.3428
O2 0.2203 0.5874 0.7832